# 1
{"formula": "Na3Ti2RhS6", "functional": "GGA-PBE", "state": "optimized geometry", "lattice_angstrom": [[-1.019, -0.264, -6.146], [-1.947, -4.610, 3.720], [-4.773, 4.735, 1.637]], "species": ["Na", "Na", "Na", "Ti", "Ti", "Rh", "S", "S", "S", "S", "S", "S"], "fractional_positions": [[0.170, 0.830, 0.500], [0.830, 0.170, 0.500], [0.500, 0.500, 0.500], [0.340, 0.660, 0.000], [0.660, 0.340, 0.000], [0.000, 0.000, 0.000], [0.934, 0.606, 0.797], [0.747, 0.747, 0.211], [0.066, 0.394, 0.203], [0.606, 0.934, 0.797], [0.253, 0.253, 0.789], [0.394, 0.066, 0.203]], "spacegroup": "C2/m (12)"}



# 2
{"formula": "Na3U2RhS6", "functional": "GGA-PBE", "state": "optimized geometry", "lattice_angstrom": [[6.565, -0.001, 0.002], [-3.282, 5.686, 0.002], [-1.093, -1.893, 6.829]], "species": ["Na", "Na", "Na", "U", "U", "Rh", "S", "S", "S", "S", "S", "S"], "fractional_positions": [[0.166, 0.834, 0.500], [0.834, 0.166, 0.500], [0.500, 0.500, 0.500], [0.333, 0.667, 0.000], [0.667, 0.333, 0.000], [0.000, 0.000, 0.000], [0.925, 0.604, 0.775], [0.753, 0.753, 0.224], [0.075, 0.396, 0.225], [0.604, 0.925, 0.775], [0.247, 0.247, 0.776], [0.396, 0.075, 0.225]], "spacegroup": "C2/m (12)"}



# 3
{"formula": "NaU2RhS4", "functional": "GGA-PBE", "state": "optimized geometry", "lattice_angstrom": [[-2.308, -1.100, -2.886], [3.898, -5.347, 1.496], [-9.332, -4.260, 9.086]], "species": ["Na", "Na", "U", "U", "U", "U", "Rh", "Rh", "S", "S", "S", "S", "S", "S", "S", "S"], "fractional_positions": [[0.114, 0.228, 0.750], [0.886, 0.772, 0.250], [0.366, 0.731, 0.567], [0.634, 0.269, 0.067], [0.634, 0.269, 0.433], [0.366, 0.731, 0.933], [0.836, 0.671, 0.750], [0.164, 0.329, 0.250], [0.274, 0.547, 0.110], [0.726, 0.453, 0.610], [0.726, 0.453, 0.890], [0.274, 0.547, 0.390], [0.000, 0.000, 0.500], [0.000, 0.000, 0.000], [0.442, 0.884, 0.750], [0.558, 0.116, 0.250]], "spacegroup": "Cmcm (63)"}



# 4
{"formula": "Na3URh2S6", "functional": "GGA-PBE", "state": "optimized geometry", "lattice_angstrom": [[6.269, 0.000, -0.001], [-3.133, 5.430, -0.001], [-1.048, -1.814, 6.786]], "species": ["Na", "Na", "Na", "U", "Rh", "Rh", "S", "S", "S", "S", "S", "S"], "fractional_positions": [[0.162, 0.838, 0.500], [0.838, 0.162, 0.500], [0.500, 0.500, 0.500], [0.000, 0.000, 0.000], [0.333, 0.667, 0.000], [0.667, 0.333, 0.000], [0.930, 0.571, 0.791], [0.711, 0.711, 0.209], [0.070, 0.429, 0.209], [0.571, 0.930, 0.791], [0.289, 0.289, 0.791], [0.429, 0.070, 0.209]], "spacegroup": "C2/m (12)"}



# 5
{"formula": "NaURhS4", "functional": "GGA-PBE", "state": "optimized geometry", "lattice_angstrom": [[6.492, 0.000, 0.277], [0.000, 5.976, 0.000], [-2.202, 0.000, 7.583]], "species": ["Na", "Na", "U", "U", "Rh", "Rh", "S", "S", "S", "S", "S", "S", "S", "S"], "fractional_positions": [[0.766, 0.750, 0.961], [0.234, 0.250, 0.039], [0.755, 0.750, 0.453], [0.245, 0.250, 0.547], [0.244, 0.750, 0.371], [0.756, 0.250, 0.629], [0.017, 0.508, 0.723], [0.983, 0.008, 0.277], [0.983, 0.492, 0.277], [0.017, 0.992, 0.723], [0.462, 0.750, 0.174], [0.538, 0.250, 0.826], [0.471, 0.750, 0.635], [0.529, 0.250, 0.365]], "spacegroup": "P2_1/m (11)"}



# 6
{"formula": "Na2URhS4", "functional": "GGA-PBE", "state": "optimized geometry", "lattice_angstrom": [[-2.727, -2.494, 1.157], [2.353, -4.253, -3.621], [3.160, -0.458, 6.460]], "species": ["Na", "Na", "U", "Rh", "S", "S", "S", "S"], "fractional_positions": [[0.500, 0.000, 0.500], [0.000, 0.500, 0.500], [0.500, 0.500, 0.000], [0.000, 0.000, 0.000], [0.500, 0.218, 0.207], [0.500, 0.782, 0.793], [0.000, 0.245, 0.773], [0.000, 0.755, 0.227]], "spacegroup": "P2/m (10)"}



# 7
{"formula": "NaURhS3", "functional": "GGA-PBE", "state": "optimized geometry", "lattice_angstrom": [[-3.238, -0.527, 2.145], [4.473, -0.703, 6.581], [-1.591, 8.596, -0.291]], "species": ["Na", "Na", "U", "U", "Rh", "Rh", "S", "S", "S", "S", "S", "S"], "fractional_positions": [[0.250, 0.186, 0.236], [0.750, 0.814, 0.764], [0.250, 0.677, 0.164], [0.750, 0.323, 0.836], [0.250, 0.095, 0.588], [0.750, 0.905, 0.412], [0.750, 0.893, 0.135], [0.250, 0.107, 0.865], [0.250, 0.775, 0.471], [0.750, 0.225, 0.529], [0.750, 0.435, 0.156], [0.250, 0.565, 0.844]], "spacegroup": "P2_1/m (11)"}



# 8
{"formula": "Na3URh3S8", "functional": "GGA-PBE", "state": "optimized geometry", "lattice_angstrom": [[7.106, 0.000, 0.000], [-3.553, 6.156, -0.023], [0.000, -4.080, 6.753]], "species": ["Na", "Na", "Na", "U", "Rh", "Rh", "Rh", "S", "S", "S", "S", "S", "S", "S", "S"], "fractional_positions": [[0.000, 0.000, 0.000], [0.000, 0.500, 0.000], [0.500, 0.500, 0.000], [0.000, 0.000, 0.500], [0.500, 0.000, 0.500], [0.500, 0.500, 0.500], [0.000, 0.500, 0.500], [0.273, 0.545, 0.318], [0.727, 0.455, 0.682], [0.752, 0.504, 0.287], [0.248, 0.496, 0.713], [0.752, 0.035, 0.287], [0.248, 0.965, 0.713], [0.283, 0.035, 0.287], [0.717, 0.965, 0.713]], "spacegroup": "R-3m (166)"}



# 9
{"formula": "Na2URh2S6", "functional": "GGA-PBE", "state": "optimized geometry", "lattice_angstrom": [[-1.816, -5.868, -0.479], [3.669, 2.516, -4.263], [4.981, -0.936, 5.147]], "species": ["Na", "Na", "U", "Rh", "Rh", "S", "S", "S", "S", "S", "S"], "fractional_positions": [[0.839, 0.161, 0.000], [0.161, 0.839, 0.000], [0.000, 0.000, 0.500], [0.333, 0.667, 0.500], [0.667, 0.333, 0.500], [0.704, 0.704, 0.707], [0.064, 0.427, 0.705], [0.296, 0.296, 0.293], [0.427, 0.064, 0.705], [0.936, 0.573, 0.295], [0.573, 0.936, 0.295]], "spacegroup": "C2/m (12)"}



# 10
{"formula": "Na2VRh2S6", "functional": "GGA-PBE", "state": "optimized geometry", "lattice_angstrom": [[-0.915, 3.471, 4.952], [-4.390, -3.815, -1.893], [4.304, -4.652, 2.767]], "species": ["Na", "Na", "V", "Rh", "Rh", "S", "S", "S", "S", "S", "S"], "fractional_positions": [[0.833, 0.167, 0.000], [0.167, 0.833, 0.000], [0.000, 0.000, 0.500], [0.332, 0.668, 0.500], [0.668, 0.332, 0.500], [0.733, 0.733, 0.692], [0.067, 0.401, 0.693], [0.267, 0.267, 0.308], [0.401, 0.067, 0.693], [0.933, 0.599, 0.307], [0.599, 0.933, 0.307]], "spacegroup": "C2/m (12)"}



# 11
{"formula": "Na3Rh3WS8", "functional": "GGA-PBE", "state": "optimized geometry", "lattice_angstrom": [[-4.410, -5.287, 2.130], [6.315, -1.589, -3.060], [0.086, 2.811, 7.154]], "species": ["Na", "Na", "Na", "Rh", "Rh", "Rh", "W", "S", "S", "S", "S", "S", "S", "S", "S"], "fractional_positions": [[0.000, 0.000, 0.000], [0.000, 0.500, 0.000], [0.500, 0.500, 0.000], [0.500, 0.000, 0.500], [0.500, 0.500, 0.500], [0.000, 0.500, 0.500], [0.000, 0.000, 0.500], [0.270, 0.541, 0.312], [0.730, 0.459, 0.688], [0.766, 0.532, 0.305], [0.234, 0.468, 0.695], [0.766, 0.039, 0.305], [0.234, 0.961, 0.695], [0.273, 0.039, 0.305], [0.727, 0.961, 0.695]], "spacegroup": "C2/m (12)"}



# 12
{"formula": "NaZn2RhS", "functional": "GGA-PBE", "state": "optimized geometry", "lattice_angstrom": [[-3.090, -0.647, 3.359], [-2.687, -2.613, -2.975], [2.236, -3.807, 1.324]], "species": ["Na", "Zn", "Zn", "Rh", "S"], "fractional_positions": [[0.000, 0.500, 0.000], [0.000, 0.000, 0.500], [0.500, 0.000, 0.000], [0.500, 0.500, 0.500], [0.000, 0.000, 0.000]], "spacegroup": "P4/mmm (123)"}



# 13
{"formula": "Na3ZrRh2S6", "functional": "GGA-PBE", "state": "optimized geometry", "lattice_angstrom": [[-0.178, -5.855, 2.315], [5.540, 2.785, -1.110], [-1.779, 3.460, 5.761]], "species": ["Na", "Na", "Na", "Zr", "Rh", "Rh", "S", "S", "S", "S", "S", "S"], "fractional_positions": [[0.164, 0.836, 0.500], [0.836, 0.164, 0.500], [0.500, 0.500, 0.500], [0.000, 0.000, 0.000], [0.333, 0.667, 0.000], [0.667, 0.333, 0.000], [0.931, 0.581, 0.795], [0.718, 0.718, 0.205], [0.069, 0.419, 0.205], [0.581, 0.931, 0.795], [0.282, 0.282, 0.795], [0.419, 0.069, 0.205]], "spacegroup": "C2/m (12)"}



# 14
{"formula": "NaSb2Rh", "functional": "GGA-PBE", "state": "optimized geometry", "lattice_angstrom": [[8.310, 0.000, 0.000], [0.000, 8.310, 0.000], [4.155, 4.155, 2.920]], "species": ["Sb", "Sb", "Sb", "Sb", "Rh", "Rh", "Na", "Na"], "fractional_positions": [[0.706, 0.125, 0.250], [0.044, 0.625, 0.250], [0.375, 0.294, 0.750], [0.875, 0.956, 0.750], [0.000, 0.000, 0.000], [0.750, 0.250, 0.500], [0.500, 0.500, 0.000], [0.250, 0.750, 0.500]], "spacegroup": "I-42d (122)"}



# 15
{"formula": "NaSb2Rh", "functional": "GGA-PBE", "state": "optimized geometry", "lattice_angstrom": [[0.000, 3.445, 3.445], [3.445, 0.000, 3.445], [3.445, 3.445, 0.000]], "species": ["Sb", "Sb", "Rh", "Na"], "fractional_positions": [[0.250, 0.250, 0.250], [0.750, 0.750, 0.750], [0.500, 0.500, 0.500], [0.000, 0.000, 0.000]], "spacegroup": "Fm-3m (225)"}



# 16
{"formula": "Na2SbRh", "functional": "GGA-PBE", "state": "optimized geometry", "lattice_angstrom": [[-1.099, -3.174, -2.117], [2.615, 0.978, -2.823], [8.337, -7.033, 2.494]], "species": ["Sb", "Sb", "Rh", "Rh", "Na", "Na", "Na", "Na"], "fractional_positions": [[0.000, 0.000, 0.000], [0.750, 0.250, 0.500], [0.500, 0.500, 0.000], [0.250, 0.750, 0.500], [0.613, 0.125, 0.250], [0.137, 0.625, 0.250], [0.375, 0.387, 0.750], [0.875, 0.863, 0.750]], "spacegroup": "I-42d (122)"}



# 17
{"formula": "NaSbRh2", "functional": "GGA-PBE", "state": "optimized geometry", "lattice_angstrom": [[-1.724, 3.969, -5.965], [-6.919, 0.670, 2.445], [-3.576, 4.793, -0.329]], "species": ["Sb", "Sb", "Rh", "Rh", "Rh", "Rh", "Na", "Na"], "fractional_positions": [[0.000, 0.000, 0.000], [0.750, 0.250, 0.500], [0.667, 0.125, 0.250], [0.083, 0.625, 0.250], [0.375, 0.333, 0.750], [0.875, 0.917, 0.750], [0.500, 0.500, 0.000], [0.250, 0.750, 0.500]], "spacegroup": "I-42d (122)"}



# 18
{"formula": "NaSbRh", "functional": "GGA-PBE", "state": "optimized geometry", "lattice_angstrom": [[-3.279, 0.501, 0.810], [0.319, -2.157, 2.627], [2.948, 5.083, 1.598]], "species": ["Sb", "Rh", "Na"], "fractional_positions": [[0.703, 0.703, 0.407], [0.303, 0.303, 0.605], [0.994, 0.994, 0.988]], "spacegroup": "I4mm (107)"}



# 19
{"formula": "Na2Sb4Rh5", "functional": "GGA-PBE", "state": "optimized geometry", "lattice_angstrom": [[-2.600, 1.301, 5.073], [-4.973, -2.807, 1.541], [2.983, -4.945, 6.166]], "species": ["Na", "Na", "Sb", "Sb", "Sb", "Sb", "Rh", "Rh", "Rh", "Rh", "Rh"], "fractional_positions": [[0.895, 0.000, 0.209], [0.105, 0.000, 0.791], [0.466, 0.323, 0.744], [0.534, 0.677, 0.256], [0.210, 0.323, 0.256], [0.790, 0.677, 0.744], [0.500, 0.000, 0.000], [0.000, 0.500, 0.000], [0.500, 0.500, 0.000], [0.250, 0.500, 0.500], [0.750, 0.500, 0.500]], "spacegroup": "Fmmm (69)"}



# 20
{"formula": "NaSb3Rh", "functional": "GGA-PBE", "state": "optimized geometry", "lattice_angstrom": [[-2.872, 3.286, -2.826], [-3.059, 0.864, 4.114], [3.070, 3.936, 1.456]], "species": ["Sb", "Sb", "Sb", "Rh", "Na"], "fractional_positions": [[0.000, 0.500, 0.000], [0.000, 0.000, 0.500], [0.500, 0.000, 0.000], [0.500, 0.500, 0.500], [0.000, 0.000, 0.000]], "spacegroup": "Pm-3m (221)"}



no.,DOS at the Fermi energy (states/eV/atom),uncorrected formation energy (eV per atom),size of the total moment (μB/cell)
1,0.467,-1.12,2.0
2,1.145,-1.14,6.1
3,1.663,-1.20,8.4
4,0.498,-0.97,2.2
5,0.704,-0.89,1.0
6,0.880,-1.06,1.7
7,1.000,-1.06,3.7
8,0.433,-0.88,0.5
9,0.437,-0.97,2.0
10,0.545,-0.74,1.0
11,0.287,-0.63,1.8
12,0.492,0.48,0.0
13,0.531,-0.95,0.0
14,0.460,-0.16,0.0
15,0.264,-0.17,0.0
16,0.520,0.04,0.0
17,0.191,0.16,0.0
18,0.320,-0.30,0.0
19,0.442,-0.32,0.0
20,0.883,1.20,0.0